Compound: SrLuGa2
Source: the Alexandria database
Functional: PBE
Structure: optimized geometry Values from VASP.

Summary:
Its space group is P4/mmm, No. 123. The value obtained for the total DFT energy (no corrections) is -3.5274 eV per atom.

Quantum ESPRESSO input file:
```
&SYSTEM
  ibrav = 0, nat = 4, ntyp = 3
/
ATOMIC_SPECIES
Sr 87.62 Sr.upf
Ga 69.72 Ga.upf
Lu 174.97 Lu.upf
CELL_PARAMETERS angstrom
3.6831 0.0000 0.0000
0.0000 3.6831 0.0000
0.0000 0.0000 7.3974
ATOMIC_POSITIONS crystal
Sr 0.5000 0.5000 0.5000
Ga 0.0000 0.0000 0.7899
Ga 0.0000 0.0000 0.2101
Lu 0.5000 0.5000 0.0000
```

---

Compound: LaV2Pd
Source: the Alexandria database
Functional: PBE
Structure: optimized geometry Values from VASP.

Summary:
Its space group is Fm-3m, No. 225. The value obtained for the total DFT energy (no corrections) is -6.7223 eV per atom.

Quantum ESPRESSO input file:
```
&SYSTEM
  ibrav = 0, nat = 4, ntyp = 3
/
ATOMIC_SPECIES
Pd 106.42 Pd.upf
V 50.94 V.upf
La 138.91 La.upf
CELL_PARAMETERS angstrom
0.0000 3.2468 3.2468
3.2468 0.0000 3.2468
3.2468 3.2468 0.0000
ATOMIC_POSITIONS crystal
Pd 0.0000 0.0000 0.0000
V 0.2500 0.2500 0.2500
V 0.7500 0.7500 0.7500
La 0.5000 0.5000 0.5000
```

---

Compound: Sr2ZnCu
Source: the Alexandria database
Functional: PBE
Structure: optimized geometry Values from VASP.

Summary:
Its space group is Pm, No. 6. The value obtained for the total DFT energy (no corrections) is -2.3300 eV per atom.

Quantum ESPRESSO input file:
```
&SYSTEM
  ibrav = 0, nat = 4, ntyp = 3
/
ATOMIC_SPECIES
Sr 87.62 Sr.upf
Zn 65.41 Zn.upf
Cu 63.55 Cu.upf
CELL_PARAMETERS angstrom
-1.5567 -3.0578 2.9903
4.1763 -1.2705 0.8749
2.4374 3.4444 4.7910
ATOMIC_POSITIONS crystal
Sr 0.5000 0.2648 0.3449
Sr 0.0000 0.9835 0.9092
Zn 0.0000 0.6800 0.5156
Cu 0.5000 0.5717 0.7303
```

---

Compound: GeBiRu2Cl
Source: the Alexandria database
Functional: PBE
Structure: optimized geometry Values from VASP.

Summary:
Its space group is P4/mmm, No. 123. The value obtained for the total DFT energy (no corrections) is -4.7650 eV per atom.

Quantum ESPRESSO input file:
```
&SYSTEM
  ibrav = 0, nat = 5, ntyp = 4
/
ATOMIC_SPECIES
Cl 35.45 Cl.upf
Ru 101.07 Ru.upf
Ge 72.64 Ge.upf
Bi 208.98 Bi.upf
CELL_PARAMETERS angstrom
-4.1133 0.6298 1.7268
-1.9912 -0.9164 -4.4090
-0.2426 -4.3816 1.0202
ATOMIC_POSITIONS crystal
Cl 0.0000 0.0000 0.0000
Ru 0.0000 0.0000 0.5000
Ru 0.5000 0.0000 0.0000
Ge 0.0000 0.5000 0.0000
Bi 0.5000 0.5000 0.5000
```

---

Compound: CsCa2Hg2
Source: the Alexandria database
Functional: PBE
Structure: optimized geometry Values from VASP.

Summary:
Its space group is P4/mbm, No. 127. The value obtained for the total DFT energy (no corrections) is -1.3438 eV per atom.

Quantum ESPRESSO input file:
```
&SYSTEM
  ibrav = 0, nat = 10, ntyp = 3
/
ATOMIC_SPECIES
Hg 200.59 Hg.upf
Ca 40.08 Ca.upf
Cs 132.91 Cs.upf
CELL_PARAMETERS angstrom
-8.6083 -3.9589 0.6311
3.4292 -8.0461 -3.6980
0.8188 -1.2321 3.4400
ATOMIC_POSITIONS crystal
Hg 0.3392 0.1608 0.5000
Hg 0.1608 0.6608 0.5000
Hg 0.6608 0.8392 0.5000
Hg 0.8392 0.3392 0.5000
Ca 0.1305 0.3695 0.0000
Ca 0.3695 0.8695 0.0000
Ca 0.6305 0.1305 0.0000
Ca 0.8695 0.6305 0.0000
Cs 0.0000 0.0000 0.0000
Cs 0.5000 0.5000 0.0000
```

---

Compound: Eu2HgRu
Source: the Alexandria database
Functional: PBE
Structure: optimized geometry Values from VASP.

Summary:
Its space group is P4/mmm, No. 123. The value obtained for the total DFT energy (no corrections) is -7.6762 eV per atom.

Quantum ESPRESSO input file:
```
&SYSTEM
  ibrav = 0, nat = 4, ntyp = 3
/
ATOMIC_SPECIES
Ru 101.07 Ru.upf
Eu 151.96 Eu.upf
Hg 200.59 Hg.upf
CELL_PARAMETERS angstrom
3.5292 0.0000 0.0000
0.0000 3.5292 0.0000
0.0000 0.0000 8.0025
ATOMIC_POSITIONS crystal
Ru 0.5000 0.5000 0.0000
Eu 0.0000 0.0000 0.7859
Eu 0.0000 0.0000 0.2141
Hg 0.5000 0.5000 0.5000
```

---

Compound: NaSbTe2Br
Source: the Alexandria database
Functional: PBE
Structure: optimized geometry Values from VASP.

Summary:
Its space group is P4/mmm, No. 123. The value obtained for the total DFT energy (no corrections) is -2.1037 eV per atom.

Quantum ESPRESSO input file:
```
&SYSTEM
  ibrav = 0, nat = 5, ntyp = 4
/
ATOMIC_SPECIES
Br 79.90 Br.upf
Na 22.99 Na.upf
Te 127.60 Te.upf
Sb 121.76 Sb.upf
CELL_PARAMETERS angstrom
-0.8235 5.1746 1.3016
-3.8686 -1.4861 3.4604
3.9243 -0.4323 4.2016
ATOMIC_POSITIONS crystal
Br 0.5000 0.5000 0.5000
Na 0.0000 0.0000 0.0000
Te 0.5000 0.0000 0.0000
Te 0.0000 0.5000 0.0000
Sb 0.0000 0.0000 0.5000
```

---

Compound: FeCu2Pt
Source: the Alexandria database
Functional: PBE
Structure: optimized geometry Values from VASP.

Summary:
Its space group is Pmm2, No. 25. The value obtained for the total DFT energy (no corrections) is -5.7437 eV per atom.

Quantum ESPRESSO input file:
```
&SYSTEM
  ibrav = 0, nat = 4, ntyp = 3
/
ATOMIC_SPECIES
Cu 63.55 Cu.upf
Fe 55.84 Fe.upf
Pt 195.08 Pt.upf
CELL_PARAMETERS angstrom
3.6903 0.0000 0.0000
0.0000 2.6926 0.0044
0.0000 2.6819 5.2799
ATOMIC_POSITIONS crystal
Cu 0.5000 0.2565 0.2435
Cu 0.0000 0.9852 0.0149
Fe 0.0000 0.5014 0.4984
Pt 0.5000 0.7570 0.7431
```

---

Compound: BaSrCa2Tl2
Source: the Alexandria database
Functional: PBE
Structure: optimized geometry Values from VASP.

Summary:
Its space group is P-3m1, No. 164. The value obtained for the total DFT energy (no corrections) is -2.3269 eV per atom.

Quantum ESPRESSO input file:
```
&SYSTEM
  ibrav = 0, nat = 6, ntyp = 4
/
ATOMIC_SPECIES
Tl 204.38 Tl.upf
Ca 40.08 Ca.upf
Sr 87.62 Sr.upf
Ba 137.33 Ba.upf
CELL_PARAMETERS angstrom
-4.2884 1.4393 3.4566
-0.9331 -0.6398 -5.5794
-1.6383 -7.6448 1.1507
ATOMIC_POSITIONS crystal
Tl 0.3333 0.6667 0.2583
Tl 0.6667 0.3333 0.7417
Ca 0.3333 0.6667 0.7355
Ca 0.6667 0.3333 0.2645
Sr 0.0000 0.0000 0.5000
Ba 0.0000 0.0000 0.0000
```

---

Compound: Pr6TlGa3
Source: the Alexandria database
Functional: PBE
Structure: optimized geometry Values from VASP.

Summary:
Its space group is P2_1/c, No. 14. The value obtained for the total DFT energy (no corrections) is -4.2808 eV per atom.

Quantum ESPRESSO input file:
```
&SYSTEM
  ibrav = 0, nat = 20, ntyp = 3
/
ATOMIC_SPECIES
Pr 140.91 Pr.upf
Tl 204.38 Tl.upf
Ga 69.72 Ga.upf
CELL_PARAMETERS angstrom
-1.1329 -0.9408 -8.0909
-3.6415 -7.0815 1.3333
-8.1554 4.3927 1.0569
ATOMIC_POSITIONS crystal
Pr 0.2562 0.6001 0.7569
Pr 0.2438 0.1001 0.7431
Pr 0.3510 0.8316 0.0702
Pr 0.6490 0.1684 0.9298
Pr 0.8510 0.6684 0.5702
Pr 0.7438 0.3999 0.2431
Pr 0.3205 0.8468 0.4273
Pr 0.1795 0.3468 0.0727
Pr 0.7562 0.8999 0.2569
Pr 0.8205 0.6532 0.9273
Pr 0.6795 0.1532 0.5727
Pr 0.1490 0.3316 0.4298
Tl 0.5000 0.5000 0.5000
Tl 0.0000 0.0000 0.0000
Ga 0.5000 0.5000 0.0000
Ga 0.9571 0.3521 0.7537
Ga 0.4571 0.1479 0.2537
Ga 0.0000 0.0000 0.5000
Ga 0.5429 0.8521 0.7463
Ga 0.0429 0.6479 0.2463
```

---

Compound: KMnRe2
Source: the Alexandria database
Functional: PBE
Structure: optimized geometry Values from VASP.

Summary:
Its space group is Cmm2, No. 35. The value obtained for the total DFT energy (no corrections) is -7.9739 eV per atom.

Quantum ESPRESSO input file:
```
&SYSTEM
  ibrav = 0, nat = 4, ntyp = 3
/
ATOMIC_SPECIES
K 39.10 K.upf
Re 186.21 Re.upf
Mn 54.94 Mn.upf
CELL_PARAMETERS angstrom
-0.3820 -2.6939 0.3518
2.6145 0.7316 0.3951
-1.9544 1.5831 10.0001
ATOMIC_POSITIONS crystal
K 0.0000 0.0000 0.4964
Re 0.0000 0.0000 0.9983
Re 0.5000 0.5000 0.2075
Mn 0.5000 0.5000 0.7979
```

---

Compound: BrO
Source: the Alexandria database
Functional: PBE
Structure: optimized geometry Values from VASP.

Summary:
Its space group is Pmn2_1, No. 31. The value obtained for the total DFT energy (no corrections) is -2.9871 eV per atom.

Quantum ESPRESSO input file:
```
&SYSTEM
  ibrav = 0, nat = 12, ntyp = 2
/
ATOMIC_SPECIES
O 16.00 O.upf
Br 79.90 Br.upf
CELL_PARAMETERS angstrom
-0.9376 -0.4373 9.7845
-5.9525 -0.9780 -0.6141
0.9170 -5.4827 -0.1572
ATOMIC_POSITIONS crystal
O 0.2016 0.6642 0.6277
O 0.5000 0.0212 0.0118
O 0.2984 0.3358 0.1277
O 0.7984 0.6642 0.6277
O 0.0000 0.9788 0.5118
O 0.7016 0.3358 0.1277
Br 0.8101 0.1553 0.3094
Br 0.5000 0.2952 0.1158
Br 0.6899 0.8447 0.8094
Br 0.1899 0.1553 0.3094
Br 0.3101 0.8447 0.8094
Br 0.0000 0.7048 0.6158
```